TbCe2In (PBE, relaxed); M_tot = 0.61 μB per formula unit; symmetry = No. 63; relative energy among the computed polymorphs = 0 meV/atom; energy of formation from the pure elements = -0.24 eV/atom
1.0
3.301 -6.329 0.000
3.301 6.329 0.000
0.000 0.000 5.264
Tb Ce In
2 4 2
direct
0.185 0.815 0.750
0.815 0.185 0.250
0.222 0.336 0.750
0.336 0.222 0.250
0.664 0.778 0.750
0.778 0.664 0.250
0.320 0.680 0.250
0.680 0.320 0.750